Below is BaPd5Pb7 after structural relaxation, with properties calculated at the GGA-PBE level.

Cell: 6.071 7.810 7.810 Å, 82.74 67.13 67.13°
Element x y z (fractional)
Ba 0.997 0.003 0.003
Pb 0.980 0.363 0.677
Pb 0.271 0.229 0.229
Pb 0.647 0.353 0.353
Pb 0.332 0.668 0.668
Pb 0.523 0.782 0.172
Pb 0.523 0.172 0.782
Pb 0.980 0.677 0.363
Pd 0.011 0.491 0.998
Pd 0.727 0.773 0.773
Pd 0.499 0.491 0.998
Pd 0.011 0.998 0.491
Pd 0.499 0.998 0.491

Results
Formation energy   -0.252 eV per atom
Crystal system   orthorhombic
Space group   Imm2 (44)

---

Below is MgAu5 after structural relaxation, with properties calculated at the GGA-PBE level.

Cell: 4.771 5.108 5.108 Å, 120.03 90.00 90.00°
Element x y z (fractional)
Au 0.500 0.667 0.000
Au 0.000 0.333 0.661
Au 0.000 0.661 0.333
Au 0.000 0.006 0.006
Au 0.500 0.000 0.667
Mg 0.500 0.333 0.333

Results
Formation energy   -0.258 eV per atom
Crystal system   hexagonal
Space group   P-62m (189)

---

Below is Ba2SbH after structural relaxation, with properties calculated at the GGA-PBE level.

Cell: 4.357 7.948 8.173 Å, 90.00 90.00 105.91°
Element x y z (fractional)
H 0.238 0.476 0.250
H 0.762 0.524 0.750
Ba 0.376 0.752 0.511
Ba 0.376 0.752 0.989
Ba 0.624 0.248 0.011
Ba 0.624 0.248 0.489
Sb 0.016 0.032 0.750
Sb 0.984 0.968 0.250

Results
Energy above the lowest structure with this stoichiometry   272 meV per atom
Crystal system   orthorhombic
Space group   Cmcm (63)

---

Calculated values (eV/atom) of E_tot for the records, taken in order: -4.3938, -3.2544, -3.4357.
Calculated values (Mg/m³) of density for the records, taken in order: 11.20, 15.55, 4.85.